Computed, not measured: Nd2ErHf after structural relaxation at the PBE-GGA level of DFT.

It has space group P4/mmm (No. 123), with a = 4.0481 Å, b = 4.0481 Å, c = 7.3256 Å, α = 90.00°, β = 90.00° and γ = 90.00°. The inequivalent atoms are Nd at (0.0000, 0.0000, 0.2253), Er at (0.5000, 0.5000, 0.5000) and Hf at (0.5000, 0.5000, 0.0000).

For the polymorph energy (0 for the lowest one), the calculation gives 45 meV per atom. For the calculated density, the calculation gives 8.8 g cm⁻³. The calculation puts the formation enthalpy at 0 K at 20.7 kJ/mol of atoms.



Computed, not measured: Nd2ErHf after structural relaxation at the PBE-GGA level of DFT.

It has space group R-3m (No. 166, hexagonal axes), with a = 3.3786 Å, b = 3.3786 Å, c = 36.5811 Å, α = 90.00°, β = 90.00° and γ = 120.00°. The inequivalent atoms are Nd at (0.0000, 0.0000, 0.0855), Er at (0.0000, 0.0000, 0.5000) and Hf at (0.0000, 0.0000, 0.0000).

For the polymorph energy (0 for the lowest one), the calculation gives 207 meV per atom. For the calculated density, the calculation gives 8.7 g cm⁻³. The calculation puts the formation enthalpy at 0 K at 36.4 kJ/mol of atoms.



| no. | VASP energy (eV/atom) |
| --- | --- |
| 1 | -5.7983 |
| 2 | -5.6361 |